Entry 1:
VASP calculation (PBE) on a relaxed structure of AcThP.

## Properties
Calculated formation energy in meV/atom: -630
Calculated density in g/cm³: 8.3

Cell and atoms, written as CIF:
```
data_AcThP
_chemical_formula_sum 'Ac4 Th4 P4'
_cell_length_a 4.3753
_cell_length_b 20.5817
_cell_length_c 4.3774
_cell_angle_alpha 90.00
_cell_angle_beta 90.00
_cell_angle_gamma 90.00
_symmetry_space_group_name_H-M 'C m c m'
_symmetry_Int_Tables_number 63
_symmetry_space_group_name_Hall '-C 2c 2'
loop_
_atom_site_label
_atom_site_fract_x
_atom_site_fract_y
_atom_site_fract_z
Ac1 0.0000 0.0902 0.2500
Th1 0.0000 0.2497 0.7500
P1 0.0000 0.3555 0.2500
```

=====

Entry 2:
VASP calculation (PBE) on a relaxed structure of Te2Pd4Se.

## Properties
Calculated density in g/cm³: 7.9
ΔE_f (raw) in eV per atom: 0.078

Cell and atoms, written as CIF:
```
data_Te2Pd4Se
_chemical_formula_sum 'Te4 Pd8 Se2'
_cell_length_a 4.8399
_cell_length_b 4.8399
_cell_length_c 13.5922
_cell_angle_alpha 90.00
_cell_angle_beta 90.00
_cell_angle_gamma 90.00
_symmetry_space_group_name_H-M 'I 4/m m m'
_symmetry_Int_Tables_number 139
_symmetry_space_group_name_Hall '-I 4 2'
loop_
_atom_site_label
_atom_site_fract_x
_atom_site_fract_y
_atom_site_fract_z
Te1 0.0000 0.0000 0.1313
Pd1 0.0000 0.0000 0.3209
Pd2 0.0000 0.5000 0.0000
Se1 0.0000 0.0000 0.5000
```

=====

Entry 3:
VASP calculation (PBE) on a relaxed structure of Sm2Hg3Rh2.

## Properties
Calculated formation energy in meV/atom: -482
Calculated density in g/cm³: 11.3

Cell and atoms, written as CIF:
```
data_Sm2Hg3Rh2
_chemical_formula_sum 'Sm4 Hg6 Rh4'
_cell_length_a 4.0759
_cell_length_b 20.7232
_cell_length_c 3.8734
_cell_angle_alpha 90.00
_cell_angle_beta 90.00
_cell_angle_gamma 90.00
_symmetry_space_group_name_H-M 'C m m m'
_symmetry_Int_Tables_number 65
_symmetry_space_group_name_Hall '-C 2 2'
loop_
_atom_site_label
_atom_site_fract_x
_atom_site_fract_y
_atom_site_fract_z
Sm1 0.0000 0.1717 0.0000
Hg1 0.0000 0.0000 0.0000
Hg2 0.0000 0.4269 0.5000
Rh1 0.0000 0.2943 0.5000
```

=====

Entry 4:
VASP calculation (PBE) on a relaxed structure of U6AlSe12.

## Properties
Calculated density in g/cm³: 7.8
ΔE_f (raw) in eV per atom: -1.066

Cell and atoms, written as CIF:
```
data_U6AlSe12
_chemical_formula_sum 'U18 Al3 Se36'
_cell_length_a 12.4754
_cell_length_b 12.4754
_cell_length_c 11.3373
_cell_angle_alpha 90.00
_cell_angle_beta 90.00
_cell_angle_gamma 120.00
_symmetry_space_group_name_H-M 'R -3'
_symmetry_Int_Tables_number 148
_symmetry_space_group_name_Hall '-R 3'
loop_
_atom_site_label
_atom_site_fract_x
_atom_site_fract_y
_atom_site_fract_z
U1 0.0526 0.7766 0.1468
Al1 0.0000 0.0000 0.5000
Se1 0.0344 0.8204 0.8914
Se2 0.0522 0.8540 0.3868
```

=====

Entry 5:
VASP calculation (PBE) on a relaxed structure of NaUTe4.

## Properties
Calculated density in g/cm³: 5.4
ΔE_f (raw) in eV per atom: -0.400

Cell and atoms, written as CIF:
```
data_NaUTe4
_chemical_formula_sum 'Na4 U4 Te16'
_cell_length_a 8.6099
_cell_length_b 8.5330
_cell_length_c 12.8861
_cell_angle_alpha 90.00
_cell_angle_beta 90.00
_cell_angle_gamma 90.00
_symmetry_space_group_name_H-M 'C m c m'
_symmetry_Int_Tables_number 63
_symmetry_space_group_name_Hall '-C 2c 2'
loop_
_atom_site_label
_atom_site_fract_x
_atom_site_fract_y
_atom_site_fract_z
Na1 0.0000 0.1290 0.2500
U1 0.0000 0.4019 0.7500
Te1 0.0000 0.3408 0.5201
Te2 0.2358 0.1360 0.7500
```

=====

Entry 6:
VASP calculation (PBE) on a relaxed structure of NiPbAu2.

## Properties
Calculated formation energy in meV/atom: 211
Calculated density in g/cm³: 14.2

Cell and atoms, written as CIF:
```
data_NiPbAu2
_chemical_formula_sum 'Ni2 Pb2 Au4'
_cell_length_a 5.5840
_cell_length_b 7.4793
_cell_length_c 3.6839
_cell_angle_alpha 90.00
_cell_angle_beta 90.00
_cell_angle_gamma 90.00
_symmetry_space_group_name_H-M 'C m m m'
_symmetry_Int_Tables_number 65
_symmetry_space_group_name_Hall '-C 2 2'
loop_
_atom_site_label
_atom_site_fract_x
_atom_site_fract_y
_atom_site_fract_z
Ni1 0.0000 0.0000 0.0000
Pb1 0.0000 0.5000 0.0000
Au1 0.2500 0.2500 0.5000
```

=====

Entry 7:
VASP calculation (PBE) on a relaxed structure of Li2AgPbCl6.

## Properties
Calculated density in g/cm³: 3.6
ΔE_f (raw) in eV per atom: -1.146

Cell and atoms, written as CIF:
```
data_Li2AgPbCl6
_chemical_formula_sum 'Li8 Ag4 Pb4 Cl24'
_cell_length_a 13.8121
_cell_length_b 11.0441
_cell_length_c 7.0089
_cell_angle_alpha 90.00
_cell_angle_beta 108.79
_cell_angle_gamma 90.00
_symmetry_space_group_name_H-M 'C 1 2/c 1'
_symmetry_Int_Tables_number 15
loop_
_symmetry_equiv_pos_as_xyz
'x,y,z'
'-x,-y,-z'
'-x,y,-z+1/2'
'x,-y,z+1/2'
'x+1/2,y+1/2,z'
'-x+1/2,-y+1/2,-z'
'-x+1/2,y+1/2,-z+1/2'
'x+1/2,-y+1/2,z+1/2'
loop_
_atom_site_label
_atom_site_fract_x
_atom_site_fract_y
_atom_site_fract_z
Li1 0.2123 0.1028 0.2924
Ag1 0.0000 0.3410 0.2500
Pb1 0.0000 0.1603 0.7500
Cl1 0.1061 0.3650 0.6050
Cl2 0.1295 0.0345 0.5203
Cl3 0.1435 0.2882 0.1242
```

=====

Entry 8:
VASP calculation (PBE) on a relaxed structure of Hf4PtC2.

## Properties
Calculated formation energy in meV/atom: -898
Calculated density in g/cm³: 13.9

Cell and atoms, written as CIF:
```
data_Hf4PtC2
_chemical_formula_sum 'Hf16 Pt4 C8'
_cell_length_a 3.3385
_cell_length_b 11.2263
_cell_length_c 11.9092
_cell_angle_alpha 90.00
_cell_angle_beta 90.00
_cell_angle_gamma 90.00
_symmetry_space_group_name_H-M 'C m c m'
_symmetry_Int_Tables_number 63
_symmetry_space_group_name_Hall '-C 2c 2'
loop_
_atom_site_label
_atom_site_fract_x
_atom_site_fract_y
_atom_site_fract_z
Hf1 0.0000 0.0000 0.0000
Hf2 0.0000 0.2657 0.1071
Hf3 0.0000 0.4257 0.7500
Pt1 0.0000 0.1095 0.7500
C1 0.0000 0.3650 0.5587
```

=====

| no. | total energy (eV for the cell shown) | Fermi-level density of states (states/eV/f.u.) |
| --- | --- | --- |
| 1 | -75.31 | 2.6 |
| 2 | -59.99 | 4.9 |
| 3 | -56.85 | 5.2 |
| 4 | -400.60 | 40.9 |
| 5 | -110.30 | 6.2 |
| 6 | -30.40 | 3.0 |
| 7 | -131.72 | 2.9 |
| 8 | -282.37 | 2.6 |